i | Below is a relaxed structure of NpPaAu2, with properties calculated at the PBE level.

a = 5.1064 Å, b = 5.1064 Å, c = 5.1064 Å
α = 60.00°, β = 60.00°, γ = 60.00°
Atoms (fractional coordinates):
1 Np 0.0000 0.0000 0.0000
2 Pa 0.5000 0.5000 0.5000
3 Au 0.2500 0.2500 0.2500
4 Au 0.7500 0.7500 0.7500

M_tot: 5.64 μB per cell
Calculated density: 15.2 g/cm3


ii | Below is a relaxed structure of NpPaAu2, with properties calculated at the PBE level.

a = 4.3933 Å, b = 4.3933 Å, c = 4.5534 Å
α = 90.00°, β = 90.00°, γ = 90.00°
Atoms (fractional coordinates):
1 Np 0.0000 0.0000 0.0000
2 Pa 0.5000 0.5000 0.0000
3 Au 0.0000 0.5000 0.5000
4 Au 0.5000 0.0000 0.5000

M_tot: 5.39 μB per cell
Calculated density: 16.3 g/cm3


Last place for stability: i


i | Below is a relaxed structure of NpPa2Au, with properties calculated at the PBE level.

a = 3.5868 Å, b = 3.5868 Å, c = 6.9650 Å
α = 90.00°, β = 90.00°, γ = 90.00°
Atoms (fractional coordinates):
1 Np 0.0000 0.0000 0.0000
2 Pa 0.5000 0.5000 0.2296
3 Pa 0.5000 0.5000 0.7704
4 Au 0.0000 0.0000 0.5000

M_tot: 2.85 μB per cell
Calculated density: 16.6 g/cm3


ii | Below is a relaxed structure of NpPa2Au, with properties calculated at the PBE level.

a = 9.2079 Å, b = 9.2079 Å, c = 9.2079 Å
α = 22.68°, β = 22.68°, γ = 22.68°
Atoms (fractional coordinates):
1 Np 0.0000 0.0000 0.0000
2 Pa 0.3943 0.3943 0.3943
3 Pa 0.6057 0.6057 0.6057
4 Au 0.5000 0.5000 0.5000

M_tot: 0.00 μB per cell
Calculated density: 14.6 g/cm3


iii | Below is a relaxed structure of NpPa2Au, with properties calculated at the PBE level.

a = 5.3070 Å, b = 5.3070 Å, c = 3.1747 Å
α = 90.00°, β = 90.00°, γ = 90.00°
Atoms (fractional coordinates):
1 Np 0.0000 0.0000 0.0000
2 Pa 0.0000 0.5000 0.5000
3 Pa 0.5000 0.0000 0.5000
4 Au 0.5000 0.5000 0.0000

M_tot: 2.86 μB per cell
Calculated density: 16.6 g/cm3


Last place for stability: ii


i | Below is a relaxed structure of NpPaAu, with properties calculated at the PBE level.

a = 4.3031 Å, b = 4.2676 Å, c = 7.7062 Å
α = 90.00°, β = 98.24°, γ = 90.00°
Atoms (fractional coordinates):
1 Np 0.1306 0.2500 0.4727
2 Np 0.8694 0.7500 0.5273
3 Pa 0.2122 0.7500 0.8264
4 Pa 0.7878 0.2500 0.1736
5 Au 0.3108 0.7500 0.2135
6 Au 0.6892 0.2500 0.7865

M_tot: 0.00 μB per cell
Calculated density: 15.8 g/cm3


ii | Below is a relaxed structure of NpPaAu, with properties calculated at the PBE level.

a = 5.6292 Å, b = 5.6292 Å, c = 5.6292 Å
α = 141.99°, β = 141.99°, γ = 54.85°
Atoms (fractional coordinates):
1 Np 0.0000 0.0000 0.0000
2 Pa 0.3613 0.3613 0.0000
3 Au 0.6827 0.6827 0.0000

M_tot: 5.08 μB per cell
Calculated density: 16.4 g/cm3


Last place for stability: ii


i | Below is a relaxed structure of NpPdAu2, with properties calculated at the PBE level.

a = 4.8576 Å, b = 4.8576 Å, c = 4.8576 Å
α = 60.00°, β = 60.00°, γ = 60.00°
Atoms (fractional coordinates):
1 Np 0.0000 0.0000 0.0000
2 Pd 0.5000 0.5000 0.5000
3 Au 0.2500 0.2500 0.2500
4 Au 0.7500 0.7500 0.7500

M_tot: 3.77 μB per cell
Calculated density: 15.1 g/cm3


ii | Below is a relaxed structure of NpPdAu2, with properties calculated at the PBE level.

a = 4.3316 Å, b = 4.3316 Å, c = 4.3180 Å
α = 90.00°, β = 90.00°, γ = 90.00°
Atoms (fractional coordinates):
1 Np 0.0000 0.0000 0.0000
2 Pd 0.5000 0.5000 0.0000
3 Au 0.0000 0.5000 0.5000
4 Au 0.5000 0.0000 0.5000

M_tot: 4.08 μB per cell
Calculated density: 15.1 g/cm3


Last place for stability: ii


i | Below is a relaxed structure of NpPdAu2, with properties calculated at the PBE level.

a = 3.5362 Å, b = 3.5362 Å, c = 6.3951 Å
α = 90.00°, β = 90.00°, γ = 90.00°
Atoms (fractional coordinates):
1 Np 0.0000 0.0000 0.0000
2 Pd 0.0000 0.0000 0.5000
3 Au 0.5000 0.5000 0.2778
4 Au 0.5000 0.5000 0.7222

M_tot: 4.03 μB per cell
Calculated density: 15.3 g/cm3


ii | Below is a relaxed structure of NpPdAu2, with properties calculated at the PBE level.

a = 5.4727 Å, b = 5.2618 Å, c = 4.2657 Å
α = 69.21°, β = 64.01°, γ = 46.78°
Atoms (fractional coordinates):
1 Np 0.0000 0.0000 0.0000
2 Pd 0.5000 0.5000 0.5000
3 Au 0.2500 0.2500 0.2500
4 Au 0.7500 0.7500 0.7500

M_tot: 4.02 μB per cell
Calculated density: 15.3 g/cm3


Last place for stability: i


i | Below is a relaxed structure of NpPd4Au2, with properties calculated at the PBE level.

a = 5.7007 Å, b = 5.7007 Å, c = 4.0521 Å
α = 90.00°, β = 90.00°, γ = 92.46°
Atoms (fractional coordinates):
1 Np 0.0000 0.0000 0.0000
2 Pd 0.0000 0.5000 0.0000
3 Pd 0.2305 0.7695 0.5000
4 Pd 0.5000 0.0000 0.0000
5 Pd 0.7695 0.2305 0.5000
6 Au 0.2915 0.2915 0.5000
7 Au 0.7085 0.7085 0.5000

M_tot: 2.98 μB per cell
Calculated density: 13.3 g/cm3


ii | Below is a relaxed structure of NpPd4Au2, with properties calculated at the PBE level.

a = 6.9913 Å, b = 6.9964 Å, c = 7.0021 Å
α = 101.39°, β = 113.64°, γ = 113.61°
Atoms (fractional coordinates):
1 Np 0.0000 0.0000 0.0000
2 Np 0.4985 0.7500 0.2487
3 Pd 0.0631 0.4261 0.1628
4 Pd 0.2607 0.2142 0.8114
5 Pd 0.2621 0.8359 0.8986
6 Pd 0.4009 0.1882 0.4489
7 Pd 0.5986 0.0482 0.7832
8 Pd 0.7351 0.5508 0.9502
9 Pd 0.7391 0.6405 0.5731
10 Pd 0.9330 0.1005 0.3599
11 Au 0.0715 0.7849 0.4296
12 Au 0.3510 0.5684 0.6378
13 Au 0.6458 0.2890 0.2142
14 Au 0.9276 0.3612 0.7110

M_tot: 7.22 μB per cell
Calculated density: 13.5 g/cm3


Last place for stability: ii